# MgAg2Cl PBE relaxed
# V (Å³/cell): 165
# Uncorrected energy (Ry/atom): -0.18635
# Formation energy without anion corrections (eV/atom): -0.25
# DOS(E_F) (states/eV per cell): 2.955
# Density (Mg/m³): 5.55
data_MgAg2Cl
_cell_length_a 5.511
_cell_length_b 11.284
_cell_length_c 3.297
_cell_angle_alpha 90.00
_cell_angle_beta 126.49
_cell_angle_gamma 90.00
_space_group_name_H-M_alt 'C 1 2/m 1'
_space_group_IT_number 12
_space_group_name_Hall '-C 2y'
loop_
_atom_site_label
_atom_site_type_symbol
_atom_site_fract_x
_atom_site_fract_y
_atom_site_fract_z
Mg1 Mg 0.000 0.000 0.000
Ag1 Ag 0.250 0.250 0.500
Cl1 Cl 0.000 0.500 0.000